Below is ZnPdPt at its PBEsol-relaxed geometry, with properties calculated at the meta-GGA SCAN level.

Output
- E_tot: -235.6 eV per cell
- Energy relative to the elements: -0.44 eV per atom

Lattice parameters (Å, degrees): 4.5765 2.7998 6.6689 90.00 97.47 90.00
Fractional coordinates of all 6 atoms:
Zn 0.0000 0.0000 0.0000
Zn 0.4227 0.0000 0.6429
Pd 0.2100 0.5000 0.3237
Pd 0.9305 0.5000 0.6715
Pt 0.4911 0.5000 0.9715
Pt 0.7104 0.0000 0.3219



Below is Zr2PdPt2 at its PBEsol-relaxed geometry, with properties calculated at the meta-GGA SCAN level.

Output
- E_tot: -480.5 eV per cell
- Energy relative to the elements: -1.14 eV per atom

Lattice parameters (Å, degrees): 7.3134 7.3134 3.3656 90.00 90.00 90.00
Fractional coordinates of all 10 atoms:
Zr 0.1702 0.3298 0.0000
Zr 0.3298 0.8298 0.0000
Zr 0.6702 0.1702 0.0000
Zr 0.8298 0.6702 0.0000
Pd 0.0000 0.0000 0.5000
Pd 0.5000 0.5000 0.5000
Pt 0.1332 0.6332 0.5000
Pt 0.3668 0.1332 0.5000
Pt 0.6332 0.8668 0.5000
Pt 0.8668 0.3668 0.5000



Below is Rb3RePd at its PBEsol-relaxed geometry, with properties calculated at the meta-GGA SCAN level.

Output
- E_tot: -157.2 eV per cell
- Energy relative to the elements: 1.77 eV per atom

Lattice parameters (Å, degrees): 6.3376 6.3376 6.3376 90.00 90.00 90.00
Fractional coordinates of all 5 atoms:
Rb 0.0000 0.0000 0.5000
Rb 0.0000 0.5000 0.0000
Rb 0.5000 0.0000 0.0000
Re 0.0000 0.0000 0.0000
Pd 0.5000 0.5000 0.5000



Below is RbRe2Pd at its PBEsol-relaxed geometry, with properties calculated at the meta-GGA SCAN level.

Output
- E_tot: -186.4 eV per cell
- Energy relative to the elements: 2.34 eV per atom

Lattice parameters (Å, degrees): 4.5438 4.5438 4.5438 60.00 60.00 60.00
Fractional coordinates of all 4 atoms:
Rb 0.0000 0.0000 0.0000
Re 0.2500 0.2500 0.2500
Re 0.7500 0.7500 0.7500
Pd 0.5000 0.5000 0.5000



Below is RbRePdS2 at its PBEsol-relaxed geometry, with properties calculated at the meta-GGA SCAN level.

Output
- Formation energy from raw total energies: 0.583 eV/atom
- E_tot: -141.0 eV per cell

Lattice parameters (Å, degrees): 4.4654 4.4654 6.5739 90.00 90.00 90.00
Fractional coordinates of all 5 atoms:
Rb 0.0000 0.0000 0.0000
Re 0.0000 0.0000 0.5000
Pd 0.5000 0.5000 0.0000
S 0.0000 0.5000 0.5000
S 0.5000 0.0000 0.5000



Below is RbSn2PdRh at its PBEsol-relaxed geometry, with properties calculated at the meta-GGA SCAN level.

Output
- E_tot: -158.9 eV per cell
- Energy relative to the elements: 0.04 eV per atom

Lattice parameters (Å, degrees): 4.9472 4.9472 5.3922 90.00 90.00 90.00
Fractional coordinates of all 5 atoms:
Rb 0.0000 0.0000 0.0000
Sn 0.0000 0.5000 0.5000
Sn 0.5000 0.0000 0.5000
Pd 0.5000 0.5000 0.0000
Rh 0.5000 0.5000 0.5000



Below is RbPd2Ru at its PBEsol-relaxed geometry, with properties calculated at the meta-GGA SCAN level.

Output
- E_tot: -117.1 eV per cell
- Energy relative to the elements: 1.00 eV per atom

Lattice parameters (Å, degrees): 4.6957 4.6957 4.6957 60.00 60.00 60.00
Fractional coordinates of all 4 atoms:
Rb 0.0000 0.0000 0.0000
Pd 0.2500 0.2500 0.2500
Pd 0.7500 0.7500 0.7500
Ru 0.5000 0.5000 0.5000



Below is Rb2PdS at its PBEsol-relaxed geometry, with properties calculated at the meta-GGA SCAN level.

Output
- Formation energy from raw total energies: 0.006 eV/atom
- E_tot: -167.7 eV per cell

Lattice parameters (Å, degrees): 10.8579 10.8579 10.8579 155.12 155.12 35.48
Fractional coordinates of all 8 atoms:
Rb 0.1192 0.6250 0.9942
Rb 0.3750 0.3692 0.4942
Rb 0.6308 0.1250 0.0058
Rb 0.8750 0.8808 0.5058
Pd 0.0000 0.0000 0.0000
Pd 0.7500 0.2500 0.5000
S 0.2500 0.7500 0.5000
S 0.5000 0.5000 0.0000



Below is RbPd2S at its PBEsol-relaxed geometry, with properties calculated at the meta-GGA SCAN level.

Output
- Formation energy from raw total energies: -0.583 eV/atom
- E_tot: -196.5 eV per cell

Lattice parameters (Å, degrees): 8.2148 8.2148 8.2148 142.12 142.12 54.65
Fractional coordinates of all 8 atoms:
Rb 0.3750 0.6250 0.7500
Rb 0.6250 0.3750 0.2500
Pd 0.0000 0.0000 0.0000
Pd 0.0000 0.0000 0.5000
Pd 0.0000 0.5000 0.0000
Pd 0.5000 0.0000 0.5000
S 0.1250 0.8750 0.2500
S 0.8750 0.1250 0.7500



Below is RbPdS2 at its PBEsol-relaxed geometry, with properties calculated at the meta-GGA SCAN level.

Output
- Formation energy from raw total energies: -0.596 eV/atom
- E_tot: -150.3 eV per cell

Lattice parameters (Å, degrees): 6.3351 6.3351 6.3351 108.98 108.98 110.46
Fractional coordinates of all 8 atoms:
Rb 0.0000 0.0000 0.0000
Rb 0.7500 0.2500 0.5000
Pd 0.2500 0.7500 0.5000
Pd 0.5000 0.5000 0.0000
S 0.2376 0.6250 0.1126
S 0.3750 0.4876 0.6126
S 0.5124 0.1250 0.8874
S 0.8750 0.7624 0.3874



Below is RbSnPdS2 at its PBEsol-relaxed geometry, with properties calculated at the meta-GGA SCAN level.

Output
- Formation energy from raw total energies: 0.144 eV/atom
- E_tot: -108.0 eV per cell

Lattice parameters (Å, degrees): 4.8148 4.8148 5.2163 90.00 90.00 90.00
Fractional coordinates of all 5 atoms:
Rb 0.0000 0.0000 0.0000
Sn 0.5000 0.5000 0.0000
Pd 0.0000 0.0000 0.5000
S 0.0000 0.5000 0.5000
S 0.5000 0.0000 0.5000



Below is RbTaPd2S at its PBEsol-relaxed geometry, with properties calculated at the meta-GGA SCAN level.

Output
- Formation energy from raw total energies: 0.317 eV/atom
- E_tot: -160.9 eV per cell

Lattice parameters (Å, degrees): 4.7112 4.7112 4.5749 90.00 90.00 90.00
Fractional coordinates of all 5 atoms:
Rb 0.0000 0.0000 0.0000
Ta 0.5000 0.5000 0.0000
Pd 0.0000 0.5000 0.5000
Pd 0.5000 0.0000 0.5000
S 0.5000 0.5000 0.5000